Material: HoCd2WO6
Method: DFT, PBE with a Hubbard U
State: relaxed

```
HoCd2WO6
1.0
5.653 0.000 0.000
0.000 5.714 0.000
-5.629 0.000 8.199
Ho Cd W O
2 4 2 12
direct
0.000 0.000 0.000 Ho
0.000 0.500 0.500 Ho
0.246 0.039 0.747 Cd
0.246 0.461 0.247 Cd
0.754 0.539 0.753 Cd
0.754 0.961 0.253 Cd
0.500 0.000 0.500 W
0.500 0.500 0.000 W
0.140 0.174 0.443 O
0.140 0.326 0.943 O
0.279 0.706 0.441 O
0.279 0.794 0.941 O
0.370 0.062 0.263 O
0.370 0.438 0.763 O
0.630 0.562 0.237 O
0.630 0.938 0.737 O
0.721 0.206 0.059 O
0.721 0.294 0.559 O
0.860 0.674 0.057 O
0.860 0.826 0.557 O
```

Computed properties:
energy = -6.379 eV/atom
volume = 13.241 Å³ per atom